#i
! Pb3WO6 (PBE with a Hubbard U, relaxed); values from VASP
&SYSTEM
  ibrav = 0, nat = 20, ntyp = 3
/
ATOMIC_SPECIES
Pb 207.20 Pb.upf
W 183.84 W.upf
O 16.00 O.upf
ATOMIC_POSITIONS crystal
Pb 0.054 0.567 0.754
Pb 0.246 0.946 0.433
Pb 0.433 0.246 0.946
Pb 0.567 0.754 0.054
Pb 0.754 0.054 0.567
Pb 0.946 0.433 0.246
W 0.000 0.000 0.000
W 0.500 0.500 0.500
O 0.043 0.913 0.736
O 0.087 0.264 0.957
O 0.225 0.532 0.449
O 0.264 0.957 0.087
O 0.449 0.225 0.532
O 0.468 0.551 0.775
O 0.532 0.449 0.225
O 0.551 0.775 0.468
O 0.736 0.043 0.913
O 0.775 0.468 0.551
O 0.913 0.736 0.043
O 0.957 0.087 0.264
CELL_PARAMETERS angstrom
5.155 2.976 3.762
-5.155 2.976 3.762
0.000 -5.953 3.762
! - space group = R-3, No. 148
! - magnetic moment (μB per cell) = 0.000

=====

#ii
! Pb3WO6 (PBE with a Hubbard U, relaxed); values from VASP
&SYSTEM
  ibrav = 0, nat = 20, ntyp = 3
/
ATOMIC_SPECIES
Pb 207.20 Pb.upf
W 183.84 W.upf
O 16.00 O.upf
ATOMIC_POSITIONS crystal
Pb 0.000 0.000 0.000
Pb 0.000 0.500 0.500
Pb 0.227 0.041 0.734
Pb 0.227 0.459 0.234
Pb 0.773 0.541 0.766
Pb 0.773 0.959 0.266
W 0.500 0.000 0.500
W 0.500 0.500 0.000
O 0.179 0.156 0.468
O 0.179 0.344 0.968
O 0.275 0.746 0.428
O 0.275 0.754 0.928
O 0.390 0.063 0.285
O 0.390 0.437 0.785
O 0.610 0.563 0.215
O 0.610 0.937 0.715
O 0.725 0.246 0.072
O 0.725 0.254 0.572
O 0.821 0.656 0.032
O 0.821 0.844 0.532
CELL_PARAMETERS angstrom
5.813 0.000 0.000
0.000 6.382 0.000
-5.621 0.000 8.593
! - space group = P2_1/c, No. 14
! - magnetic moment (μB per cell) = 0.000

=====

Least stable of them? #ii.

=====

#i
! PbWO4 (PBE with a Hubbard U, relaxed); values from VASP
&SYSTEM
  ibrav = 0, nat = 24, ntyp = 3
/
ATOMIC_SPECIES
Pb 207.20 Pb.upf
W 183.84 W.upf
O 16.00 O.upf
ATOMIC_POSITIONS crystal
Pb 0.165 0.228 0.156
Pb 0.165 0.272 0.656
Pb 0.835 0.728 0.344
Pb 0.835 0.772 0.844
W 0.407 0.249 0.925
W 0.407 0.251 0.425
W 0.593 0.749 0.575
W 0.593 0.751 0.075
O 0.102 0.125 0.340
O 0.102 0.375 0.840
O 0.270 0.554 0.469
O 0.270 0.946 0.969
O 0.375 0.059 0.553
O 0.375 0.441 0.053
O 0.499 0.620 0.679
O 0.499 0.880 0.179
O 0.501 0.120 0.821
O 0.501 0.380 0.321
O 0.625 0.559 0.947
O 0.625 0.941 0.447
O 0.730 0.054 0.031
O 0.730 0.446 0.531
O 0.898 0.625 0.160
O 0.898 0.875 0.660
CELL_PARAMETERS angstrom
5.649 0.000 0.000
0.000 5.147 0.000
-4.972 0.000 13.174
! - space group = P2_1/c, No. 14
! - magnetic moment (μB per cell) = 0.000

=====

#ii
! PbWO4 (PBE with a Hubbard U, relaxed); values from VASP
&SYSTEM
  ibrav = 0, nat = 12, ntyp = 3
/
ATOMIC_SPECIES
Pb 207.20 Pb.upf
W 183.84 W.upf
O 16.00 O.upf
ATOMIC_POSITIONS crystal
Pb 0.375 0.625 0.750
Pb 0.625 0.375 0.250
W 0.125 0.875 0.250
W 0.875 0.125 0.750
O 0.149 0.716 0.433
O 0.216 0.284 0.933
O 0.284 0.216 0.433
O 0.284 0.851 0.067
O 0.716 0.149 0.933
O 0.716 0.784 0.567
O 0.784 0.716 0.067
O 0.851 0.284 0.567
CELL_PARAMETERS angstrom
-3.932 3.932 3.523
3.932 -3.932 3.523
3.932 3.932 -3.523
! - space group = I4_1/amd, No. 141
! - magnetic moment (μB per cell) = 0.000

=====

#iii
! PbWO4 (PBE with a Hubbard U, relaxed); values from VASP
&SYSTEM
  ibrav = 0, nat = 12, ntyp = 3
/
ATOMIC_SPECIES
Pb 207.20 Pb.upf
W 183.84 W.upf
O 16.00 O.upf
ATOMIC_POSITIONS crystal
Pb 0.143 0.857 0.750
Pb 0.857 0.143 0.250
W 0.409 0.591 0.250
W 0.591 0.409 0.750
O 0.151 0.546 0.318
O 0.266 0.342 0.809
O 0.342 0.266 0.309
O 0.454 0.849 0.182
O 0.546 0.151 0.818
O 0.658 0.734 0.691
O 0.734 0.658 0.191
O 0.849 0.454 0.682
CELL_PARAMETERS angstrom
3.727 -5.836 0.000
3.727 5.836 0.000
-2.905 0.000 4.106
! - space group = C2/c, No. 15
! - magnetic moment (μB per cell) = 0.000

=====

Least stable of them? #ii.